# CaBiSbI2

Crystalline CaBiSbI2 at its relaxed geometry (GGA-PBE, the Alexandria database).

Calculated values
* formation energy from raw total energies: -0.068 eV/atom
* energy: -2.689 eV per atom
* size of the total moment: 0.28 Bohr magnetons per cell
* V: 215.8 Å³/f.u.

Lattice parameters (Å, degrees): 5.7855 5.7855 6.4464 90.00 90.00 90.00
Element x y z (fractional)
I1 0.0000 0.5000 0.0000
I2 0.5000 0.0000 0.0000
Sb1 0.0000 0.0000 0.5000
Ca1 0.0000 0.0000 0.0000
Bi1 0.5000 0.5000 0.5000